A relaxed Na5B7C3 crystal. Source: Alexandria via LeMat-Bulk, functional PBE.

Structure (CIF):
```
data_Na5B7C3
_symmetry_space_group_name_H-M 'P 1 m 1'
_symmetry_Int_Tables_number 6
_cell_length_a 5.0984
_cell_length_b 8.5714
_cell_length_c 7.5849
_cell_angle_alpha 90.00
_cell_angle_beta 109.63
_cell_angle_gamma 90.00
loop_
_symmetry_equiv_pos_as_xyz
'x,y,z'
'x,-y,z'
loop_
_atom_site_label
_atom_site_type_symbol
_atom_site_fract_x
_atom_site_fract_y
_atom_site_fract_z
Na1 Na 0.0000 0.2448 0.0000
Na2 Na 0.1989 0.2476 0.4006
Na3 Na 0.3978 0.2457 0.8006
Na4 Na 0.5985 0.2480 0.2021
Na5 Na 0.7987 0.2472 0.6009
B1 B 0.0703 0.0000 0.8114
B2 B 0.1307 0.5000 0.6101
B3 B 0.1318 0.0000 0.6004
B4 B 0.2687 0.0000 0.2017
B5 B 0.3210 0.5000 0.0009
B6 B 0.4607 0.5000 0.6083
B7 B 0.4857 0.0000 0.6005
B8 B 0.5220 0.5000 0.3925
B9 B 0.6505 0.5000 0.0004
B10 B 0.6678 0.0000 0.0001
B11 B 0.7688 0.5000 0.8095
B12 B 0.8536 0.5000 0.3941
B13 B 0.8592 0.0000 0.3893
B14 B 0.9599 0.5000 0.1927
C1 C 0.0681 0.5000 0.8054
C2 C 0.2634 0.5000 0.1966
C3 C 0.3314 0.0000 0.0062
C4 C 0.5321 0.0000 0.3983
C5 C 0.7342 0.0000 0.8028
C6 C 0.9255 0.0000 0.1951
```

- E_tot (eV/atom) = -5.252
- formation enthalpy at 0 K (eV/atom) = 0.148


A relaxed Na2LiHg crystal. Source: Alexandria via LeMat-Bulk, functional PBE.

Structure (CIF):
```
data_Na2LiHg
_symmetry_space_group_name_H-M 'P 4/m m m'
_symmetry_Int_Tables_number 123
_symmetry_space_group_name_Hall '-P 4 2'
_cell_length_a 4.5811
_cell_length_b 4.5811
_cell_length_c 4.7951
_cell_angle_alpha 90.00
_cell_angle_beta 90.00
_cell_angle_gamma 90.00
loop_
_atom_site_label
_atom_site_type_symbol
_atom_site_fract_x
_atom_site_fract_y
_atom_site_fract_z
Na1 Na 0.0000 0.5000 0.0000
Li1 Li 0.0000 0.0000 0.5000
Hg1 Hg 0.5000 0.5000 0.5000
```

- E_tot (eV/atom) = -1.350
- formation enthalpy at 0 K (eV/atom) = -0.137


A relaxed Mg2NiW crystal. Source: Alexandria via LeMat-Bulk, functional PBE.

Structure (CIF):
```
data_Mg2NiW
_symmetry_space_group_name_H-M 'P 1 m 1'
_symmetry_Int_Tables_number 6
_cell_length_a 2.7744
_cell_length_b 4.1362
_cell_length_c 5.7533
_cell_angle_alpha 90.00
_cell_angle_beta 101.53
_cell_angle_gamma 90.00
loop_
_symmetry_equiv_pos_as_xyz
'x,y,z'
'x,-y,z'
loop_
_atom_site_label
_atom_site_type_symbol
_atom_site_fract_x
_atom_site_fract_y
_atom_site_fract_z
Mg1 Mg 0.0000 0.0000 0.0000
Mg2 Mg 0.4111 0.5000 0.7280
Ni1 Ni 0.3997 0.5000 0.2686
W1 W 0.8324 0.0000 0.4589
```

- E_tot (eV/atom) = -5.185
- formation enthalpy at 0 K (eV/atom) = 0.296


A relaxed NaH3Pd crystal. Source: Alexandria via LeMat-Bulk, functional PBE.

Structure (CIF):
```
data_NaH3Pd
_symmetry_space_group_name_H-M 'I -4 m 2'
_symmetry_Int_Tables_number 119
_symmetry_space_group_name_Hall 'I -4 -2'
_cell_length_a 3.5538
_cell_length_b 3.5538
_cell_length_c 19.1767
_cell_angle_alpha 90.00
_cell_angle_beta 90.00
_cell_angle_gamma 90.00
loop_
_atom_site_label
_atom_site_type_symbol
_atom_site_fract_x
_atom_site_fract_y
_atom_site_fract_z
Na1 Na 0.0000 0.0000 0.0000
Na2 Na 0.0000 0.5000 0.2500
H1 H 0.0000 0.0000 0.3377
H2 H 0.0000 0.3919 0.0791
Pd1 Pd 0.0000 0.5000 0.6597
```

- E_tot (eV/atom) = -3.192